Here is a relaxed structure of Nd3Sm3TlHg2 from the Alexandria database. Energies are from PBE-GGA.

The structure in extended XYZ format:
```
9
Lattice="3.8620 0.0000 0.0000 0.0000 9.0556 0.0000 0.0000 -4.5278 7.8424" Properties=species:S:1:pos:R:3 pbc="T T T"
Sm 0.0000 3.4992 0.0000
Hg 1.9310 4.5278 2.6141
Nd 1.9310 1.3019 2.2549
Sm 0.0000 2.7782 4.8120
Hg 1.9310 0.0000 5.2282
Tl 0.0000 0.0000 0.0000
Nd 1.9310 6.4518 0.0000
Nd 1.9310 -3.2259 5.5874
Sm 0.0000 -1.7496 3.0304
```

Crystal system: hexagonal
Formation energy, eV per atom: -0.248
Space group: P-62m